[1]
A crystal of TiCdGaCu2 relaxed with PBEsol, computed with SCAN.

Its space group is P4/mmm (123). The calculation puts the energy of formation from the pure elements at 0.966 eV/atom. As for the raw total energy: -17.67 eV/atom.

Cell lengths 4.616, 4.616, 4.708 Å; angles 90.00, 90.00, 90.00 degrees
Last column: magnetic moment on the atom in μB.
Fractional positions:
1 Cu 0.000 0.500 0.000  -0.02
2 Cu 0.500 0.000 0.000  -0.02
3 Cd 0.000 0.000 0.000  -0.04
4 Ti 0.500 0.500 0.500  1.67
5 Ga 0.000 0.000 0.500  -0.02

=====

[2]
A crystal of ZrZn3I relaxed with PBEsol, computed with SCAN.

Its space group is Pm-3m (221). As for the raw total energy: -20.23 eV/atom. The distance to the lowest polymorph of the same formula is 0.566 eV/atom. The uncorrected formation energy comes out at 1372 meV per atom.

Cell lengths 5.040, 5.040, 5.040 Å; angles 90.00, 90.00, 90.00 degrees
Fractional positions:
1 Zn 0.000 0.000 0.500
2 Zn 0.500 0.000 0.000
3 Zn 0.000 0.500 0.000
4 I 0.000 0.000 0.000
5 Zr 0.500 0.500 0.500

=====

[3]
A crystal of NaSi2Hg2 relaxed with PBEsol, computed with SCAN.

Its space group is I4/mmm (139). As for the raw total energy: -31.93 eV/atom. The uncorrected formation energy comes out at 188 meV per atom.

Cell lengths 4.027, 4.027, 6.995 Å; angles 106.73, 106.73, 90.00 degrees
Fractional positions:
1 Si 0.750 0.250 0.500
2 Si 0.250 0.750 0.500
3 Hg 0.607 0.607 0.213
4 Hg 0.393 0.393 0.787
5 Na 0.000 0.000 0.000

=====

[4]
A crystal of CrCuRh relaxed with PBEsol, computed with SCAN.

Its space group is I4mm (107). The calculation puts the energy of formation from the pure elements at 0.133 eV/atom. As for the raw total energy: -22.32 eV/atom. The distance to the lowest polymorph of the same formula is 0.000 eV/atom.

Cell lengths 2.655, 2.655, 5.508 Å; angles 103.95, 103.95, 90.00 degrees
Fractional positions:
1 Cr 0.998 0.998 0.996
2 Cu 0.662 0.662 0.325
3 Rh 0.340 0.340 0.680